LiVNiO4 | PBE+U | optimized geometry

The energy above the lowest structure with this stoichiometry comes out at 0.025 eV per atom.

The space group is Pnma (No. 62) and the conventional cell measures 10.401, 6.029 and 4.925 Å, with angles of 90.00, 90.00 and 90.00 degrees. The distinct sites, in fractional coordinates, are Li at (0.000, 0.000, 0.000), V at (0.094, 0.250, 0.430), Ni at (0.231, 0.750, 0.492), O at (0.060, 0.750, 0.703), O at (0.096, 0.250, 0.783) and O at (0.169, 0.022, 0.273).